Ho6BiSb2Te3: relaxed, PBE-GGA.

It has space group C2/m (No. 12), with a = 19.072 Å, b = 4.370 Å, c = 8.737 Å, α = 90.00°, β = 103.22° and γ = 90.00°. Symmetry generates all atoms from Ho at (0.004, 0.000, 0.252), Ho at (0.168, 0.500, 0.093), Ho at (0.170, 0.500, 0.577), Bi at (0.000, 0.500, 0.000), Sb at (0.167, 0.000, 0.334), Te at (0.000, 0.500, 0.500) and Te at (0.165, 0.000, 0.833).

The value obtained for the total magnetization is 0.00 μB/cell. The calculation puts the formation energy (no corrections) at -1.17 eV/atom.